# 1
Density functional theory data (PBE) for a relaxed Cs2AlTe3O12 crystal.

Cell lengths 7.3172, 7.3172, 17.2329 Å; angles 90.00, 90.00, 120.00 degrees
With the nearest neighbours (Å) after each atom.
Space group R-3m (No. 166, hexagonal axes)
Asymmetric unit:
Cs 0.0000 0.0000 0.1294 x6  9 O 3.10-3.47
Al 0.0000 0.0000 0.5000 x3  6 O 1.92
Te 0.0000 0.5000 0.0000 x9  6 O 1.90-1.99
O 0.0707 0.5353 0.3609 x18  2 Te 1.99
O 0.0791 0.5396 0.1063 x18  1 Te 1.90, 1 Al 1.92

## Properties
Formation energy from raw total energies ... -1375 meV/atom
Energy ... -99.12 eV per formula unit
V ... 799.1 Å³/cell



# 2
Density functional theory data (PBE) for a relaxed Pr11Rh4Pb9 crystal.

Cell lengths 14.7424, 22.1526, 4.1180 Å; angles 90.00, 90.00, 90.00 degrees
With the nearest neighbours (Å) after each atom.
Space group Cmmm (No. 65)
Asymmetric unit:
Pr 0.0000 0.0000 0.0000 x2  8 Pb 3.38, 2 Pr 3.65
Pr 0.0000 0.1646 0.0000 x4  8 Pb 3.42-3.57, 3 Pr 3.65-3.66
Pr 0.0000 0.3737 0.0000 x4  4 Rh 3.11, 2 Pb 3.47
Pr 0.1902 0.5000 0.0000 x4  4 Rh 3.09
Pr 0.2484 0.1670 0.0000 x8  2 Rh 2.91
Rh 0.1534 0.3986 0.5000 x8  6 Pr 2.91-3.11, 3 Pb 3.05-3.19
Pb 0.0000 0.5000 0.5000 x2  4 Rh 3.19, 8 Pr 3.47-3.48
Pb 0.1095 0.2639 0.5000 x8  1 Rh 3.05, 1 Pb 3.23, 4 Pr 3.31-3.42
Pb 0.1438 0.0740 0.5000 x8  1 Rh 3.05, 1 Pb 3.28, 4 Pr 3.30-3.38

## Properties
Energy ... -129.77 eV per formula unit
V ... 1344.9 Å³/cell
Formation energy ... -14.42 eV/f.u.



# 3
Density functional theory data (PBE) for a relaxed BaOs3Ru crystal.

Cell lengths 4.8990, 4.8990, 4.8990 Å; angles 90.00, 90.00, 90.00 degrees
With the nearest neighbours (Å) after each atom.
Space group Pm-3m (No. 221)
Asymmetric unit:
Ba 0.0000 0.0000 0.0000 x1  6 Os 2.45
Os 0.0000 0.0000 0.5000 x3  2 Ba 2.45
Ru 0.5000 0.5000 0.5000 x1  12 Os 3.46

## Properties
Energy ... -23.95 eV per formula unit
Energy above the lowest structure with this stoichiometry ... 2559 meV per atom
V ... 117.6 Å³/cell
Formation energy ... 20.94 eV/f.u.



# 4
Density functional theory data (PBE) for a relaxed LiGaCu2 crystal.

Cell lengths 3.9604, 3.9604, 3.2976 Å; angles 90.00, 90.00, 90.00 degrees
With the nearest neighbours (Å) after each atom.
Space group P4/mmm (No. 123)
Asymmetric unit:
Li 0.0000 0.0000 0.0000 x1  8 Cu 2.58, 4 Ga 2.80
Ga 0.5000 0.5000 0.0000 x1  8 Cu 2.58, 4 Li 2.80
Cu 0.0000 0.5000 0.5000 x2  4 Ga 2.58, 4 Li 2.58, 4 Cu 2.80

## Properties
Energy ... -13.75 eV per formula unit
V ... 51.7 Å³/cell
Formation energy ... -0.61 eV/f.u.



# 5
Density functional theory data (PBE) for a relaxed PtAu crystal.

Cell lengths 8.0513, 8.0513, 8.0513 Å; angles 90.00, 90.00, 90.00 degrees
With the nearest neighbours (Å) after each atom.
Space group I-43m (No. 217)
Asymmetric unit:
Pt 0.1184 0.1184 0.1184 x8  4 Au 2.53-2.73, 3 Pt 2.70
Au 0.2001 0.2001 0.7999 x8  4 Pt 2.53-2.73

## Properties
Energy ... -7.50 eV per formula unit
V ... 521.9 Å³/cell
Formation energy ... 1.81 eV/f.u.



# 6
Density functional theory data (PBE) for a relaxed AlFe3H crystal.

Cell lengths 4.1739, 4.8950, 5.7592 Å; angles 73.15, 89.99, 65.51 degrees
With the nearest neighbours (Å) after each atom.
Space group P-1 (No. 2)
Asymmetric unit:
Al 0.1320 0.2338 0.1926 x2  7 Fe 2.49-2.67, 2 H 2.60-2.70, 1 Al 2.68
Fe 0.1505 0.2304 0.6935 x2  1 H 1.71
Fe 0.3646 0.7633 0.5679 x2  2 H 1.69-1.70
Fe 0.3821 0.7388 0.0600 x2  1 H 1.70
H 0.3049 0.6074 0.3524 x2  4 Fe 1.69-1.71

## Properties
Energy ... -33.14 eV per formula unit
Energy above the lowest structure with this stoichiometry ... 43 meV per atom
V ... 101.5 Å³/cell



# 7
Density functional theory data (PBE) for a relaxed K2TeAs crystal.

Cell lengths 6.4748, 6.4748, 3.0576 Å; angles 90.00, 90.00, 90.00 degrees
With the nearest neighbours (Å) after each atom.
Space group P4/mmm (No. 123)
Asymmetric unit:
K 0.0000 0.5000 0.0000 x2  2 K 3.06
Te 0.0000 0.0000 0.5000 x1  2 Te 3.06
As 0.5000 0.5000 0.5000 x1  2 As 3.06

## Properties
Formation energy from raw total energies ... -366 meV/atom
Energy ... -11.45 eV per formula unit
Energy above the lowest structure with this stoichiometry ... 180 meV per atom
V ... 128.2 Å³/cell



# 8
Density functional theory data (PBE) for a relaxed AcErAg4 crystal.

Cell lengths 8.2680, 8.2680, 8.2680 Å; angles 90.00, 90.00, 90.00 degrees
With the nearest neighbours (Å) after each atom.
Space group F-43m (No. 216)
Asymmetric unit:
Ac 0.0000 0.0000 0.0000 x4  12 Ag 3.43, 4 Er 3.58
Er 0.2500 0.2500 0.2500 x4  12 Ag 3.43, 4 Ac 3.58
Ag 0.1240 0.1240 0.6240 x16  6 Ag 2.90-2.95

## Properties
Energy ... -20.93 eV per formula unit
V ... 565.2 Å³/cell
Formation energy ... -0.85 eV/f.u.